Density functional theory data (PBE) for Tb4Nd5Cd after structural relaxation.

M_tot ... 0.00 μB/cell
SG ... P4/mmm
E_form ... -0.0474 eV/atom

abc: 3.651 3.651 24.516
angles: 90.00 90.00 90.00
Fractional positions:
1 Tb 0.000 0.000 0.103
2 Tb 0.000 0.000 0.310
3 Tb 0.000 0.000 0.690
4 Tb 0.000 0.000 0.897
5 Nd 0.500 0.500 0.000
6 Nd 0.500 0.500 0.206
7 Nd 0.500 0.500 0.413
8 Nd 0.500 0.500 0.587
9 Nd 0.500 0.500 0.794
10 Cd 0.000 0.000 0.500